This record from Alexandria describes LaScNF2 at its PBEsol-relaxed geometry. The functional is SCAN.

Computed properties:
- Symmetry: P4/mmm (123)
- Fermi-level density of states: 0.7 states/eV per cell
- Crystal system: tetragonal
- Formation energy without anion corrections: -1858.1 meV/atom

The structure in CIF format:
```
data_LaScNF2
_chemical_formula_sum 'La1 Sc1 N1 F2'
_cell_length_a 4.459
_cell_length_b 4.459
_cell_length_c 4.961
_cell_angle_alpha 90.00
_cell_angle_beta 90.00
_cell_angle_gamma 90.00
_symmetry_space_group_name_H-M 'P 1'
_symmetry_Int_Tables_number 1
loop_
_symmetry_equiv_pos_as_xyz
'x,y,z'
loop_
_atom_site_label
_atom_site_fract_x
_atom_site_fract_y
_atom_site_fract_z
_atom_site_occupancy
La1 0.000 0.000 0.000 1
Sc1 0.500 0.500 0.500 1
N1 0.000 0.000 0.500 1
F1 0.000 0.500 0.000 1
F2 0.500 0.000 0.000 1
```

---

This record from Alexandria describes Li2HgPt at its PBEsol-relaxed geometry. The functional is SCAN.

Computed properties:
- Energy of formation: -0.47 eV/atom
- Symmetry: Cm (8)
- Fermi-level density of states: 1.0 states/eV per cell
- Crystal system: monoclinic

The structure in CIF format:
```
data_Li2HgPt
_chemical_formula_sum 'Li2 Hg1 Pt1'
_cell_length_a 4.859
_cell_length_b 4.859
_cell_length_c 4.662
_cell_angle_alpha 100.62
_cell_angle_beta 100.62
_cell_angle_gamma 34.41
_symmetry_space_group_name_H-M 'P 1'
_symmetry_Int_Tables_number 1
loop_
_symmetry_equiv_pos_as_xyz
'x,y,z'
loop_
_atom_site_label
_atom_site_fract_x
_atom_site_fract_y
_atom_site_fract_z
_atom_site_occupancy
Li1 0.000 0.000 0.000 1
Li2 0.234 0.234 0.711 1
Hg1 0.487 0.487 0.489 1
Pt1 0.736 0.736 0.197 1
```

---

This record from Alexandria describes LaTeP at its PBEsol-relaxed geometry. The functional is SCAN.

Computed properties:
- Symmetry: F-43m (216)
- Fermi-level density of states: 4.5 states/eV per cell
- Crystal system: cubic
- Formation energy without anion corrections: -655.5 meV/atom

The structure in CIF format:
```
data_LaTeP
_chemical_formula_sum 'La1 Te1 P1'
_cell_length_a 5.063
_cell_length_b 5.063
_cell_length_c 5.063
_cell_angle_alpha 60.00
_cell_angle_beta 60.00
_cell_angle_gamma 60.00
_symmetry_space_group_name_H-M 'P 1'
_symmetry_Int_Tables_number 1
loop_
_symmetry_equiv_pos_as_xyz
'x,y,z'
loop_
_atom_site_label
_atom_site_fract_x
_atom_site_fract_y
_atom_site_fract_z
_atom_site_occupancy
La1 0.000 0.000 0.000 1
Te1 0.250 0.250 0.250 1
P1 0.750 0.750 0.750 1
```

---

This record from Alexandria describes ScMn at its PBEsol-relaxed geometry. The functional is SCAN.

Computed properties:
- Energy of formation: 0.11 eV/atom
- Symmetry: Imma (74)
- Fermi-level density of states: 2.4 states/eV per cell
- Crystal system: orthorhombic

The structure in CIF format:
```
data_ScMn
_chemical_formula_sum 'Sc2 Mn2'
_cell_length_a 5.292
_cell_length_b 5.292
_cell_length_c 5.292
_cell_angle_alpha 146.56
_cell_angle_beta 130.72
_cell_angle_gamma 60.86
_symmetry_space_group_name_H-M 'P 1'
_symmetry_Int_Tables_number 1
loop_
_symmetry_equiv_pos_as_xyz
'x,y,z'
loop_
_atom_site_label
_atom_site_fract_x
_atom_site_fract_y
_atom_site_fract_z
_atom_site_occupancy
Sc1 0.360 0.110 0.250 1
Sc2 0.640 0.890 0.750 1
Mn1 0.091 0.341 0.750 1
Mn2 0.909 0.659 0.250 1
```

---

This record from Alexandria describes TlSiNO2 at its PBEsol-relaxed geometry. The functional is SCAN.

Computed properties:
- Symmetry: P4/mmm (123)
- Fermi-level density of states: 1.3 states/eV per cell
- Crystal system: tetragonal
- Formation energy without anion corrections: -924.9 meV/atom

The structure in CIF format:
```
data_TlSiNO2
_chemical_formula_sum 'Tl1 Si1 N1 O2'
_cell_length_a 3.457
_cell_length_b 3.457
_cell_length_c 4.203
_cell_angle_alpha 90.00
_cell_angle_beta 90.00
_cell_angle_gamma 90.00
_symmetry_space_group_name_H-M 'P 1'
_symmetry_Int_Tables_number 1
loop_
_symmetry_equiv_pos_as_xyz
'x,y,z'
loop_
_atom_site_label
_atom_site_fract_x
_atom_site_fract_y
_atom_site_fract_z
_atom_site_occupancy
Tl1 0.000 0.000 0.000 1
Si1 0.500 0.500 0.500 1
N1 0.500 0.500 0.000 1
O1 0.000 0.500 0.500 1
O2 0.500 0.000 0.500 1
```

---

This record from Alexandria describes SiH4 at its PBEsol-relaxed geometry. The functional is SCAN.

Computed properties:
- Raw total energy: -95.12 eV/cell
- Symmetry: P2_1/c (14)
- Fermi-level density of states: 0.0 states/eV per cell
- Crystal system: monoclinic

The structure in CIF format:
```
data_SiH4
_chemical_formula_sum 'Si4 H16'
_cell_length_a 6.678
_cell_length_b 4.363
_cell_length_c 6.726
_cell_angle_alpha 90.00
_cell_angle_beta 105.40
_cell_angle_gamma 90.00
_symmetry_space_group_name_H-M 'P 1'
_symmetry_Int_Tables_number 1
loop_
_symmetry_equiv_pos_as_xyz
'x,y,z'
loop_
_atom_site_label
_atom_site_fract_x
_atom_site_fract_y
_atom_site_fract_z
_atom_site_occupancy
Si1 0.250 0.069 0.147 1
Si2 0.250 0.431 0.647 1
Si3 0.750 0.569 0.353 1
Si4 0.750 0.931 0.853 1
H1 0.072 0.595 0.697 1
H2 0.072 0.905 0.197 1
H3 0.191 0.104 0.596 1
H4 0.191 0.396 0.096 1
H5 0.302 0.582 0.467 1
H6 0.302 0.918 0.967 1
H7 0.435 0.053 0.331 1
H8 0.435 0.447 0.831 1
H9 0.565 0.553 0.169 1
H10 0.565 0.947 0.669 1
H11 0.698 0.082 0.033 1
H12 0.698 0.418 0.533 1
H13 0.809 0.604 0.904 1
H14 0.809 0.896 0.404 1
H15 0.928 0.095 0.803 1
H16 0.928 0.405 0.303 1
```